Material: Eu3BWO9
Method: DFT, PBE with a Hubbard U
State: relaxed

abc: 8.946 8.946 5.550
angles: 90.00 90.00 120.00
Positions (direct):
Eu 0.070 0.361 0.000
Eu 0.291 0.930 0.000
Eu 0.361 0.291 0.500
Eu 0.639 0.709 0.000
Eu 0.709 0.070 0.500
Eu 0.930 0.639 0.500
B 0.000 0.000 0.208
B 0.000 0.000 0.708
W 0.333 0.667 0.529
W 0.667 0.333 0.029
O 0.087 0.178 0.704
O 0.091 0.913 0.704
O 0.134 0.600 0.744
O 0.178 0.091 0.204
O 0.206 0.740 0.324
O 0.260 0.466 0.324
O 0.400 0.534 0.744
O 0.466 0.206 0.824
O 0.466 0.866 0.744
O 0.534 0.134 0.244
O 0.534 0.794 0.324
O 0.600 0.466 0.244
O 0.740 0.534 0.824
O 0.794 0.260 0.824
O 0.822 0.909 0.704
O 0.866 0.400 0.244
O 0.909 0.087 0.204
O 0.913 0.822 0.204

Summary:
Fermi-level density of states (states/eV/cell): 37.25
Space-group type: P6_3, No. 173
Spin magnetization (μB per atom): 1.29
E (eV per cell): -250.61